No. 1
# Nb3Se4S2

A geometry-optimized Nb3Se4S2 structure (GGA-PBE, the Alexandria database).

Summary:
Its formation energy without anion corrections is -0.905 eV/atom. The total energy comes out at -60.55 eV per cell. Its space group is P3m1.

a = 3.4400 Å, b = 3.4400 Å, c = 21.2760 Å
α = 90.00°, β = 90.00°, γ = 120.00°
Each line ends with the local moment (μB).
Fractional positions:
1 Nb 0.0000 0.0000 0.9785  0.25
2 Nb 0.0000 0.0000 0.3234  0.07
3 Nb 0.6667 0.3333 0.6572  0.09
4 Se 0.0000 0.0000 0.5772  0.00
5 Se 0.6667 0.3333 0.4034  0.00
6 Se 0.6667 0.3333 0.2436  0.00
7 Se 0.0000 0.0000 0.7370  0.00
8 S 0.6667 0.3333 0.0508  0.00
9 S 0.6667 0.3333 0.9061  0.00


No. 2
# BaPmNp2O8

A geometry-optimized BaPmNp2O8 structure (GGA-PBE, the Alexandria database).

Summary:
Its formation energy without anion corrections is -2.874 eV/atom. The total energy comes out at -106.71 eV per cell. Its space group is I-4.

a = 5.6334 Å, b = 5.6334 Å, c = 6.7469 Å
α = 114.68°, β = 114.68°, γ = 90.00°
Each line ends with the local moment (μB).
Fractional positions:
1 Ba 0.7500 0.2500 0.5000  -0.01
2 Pm 0.0000 0.0000 0.0000  0.00
3 Np 0.5000 0.5000 0.0000  2.02
4 Np 0.2500 0.7500 0.5000  1.73
5 O 0.8430 0.8177 0.2091  -0.09
6 O 0.3661 0.3914 0.2091  -0.09
7 O 0.5860 0.6550 0.7271  -0.09
8 O 0.1411 0.0721 0.7271  -0.09
9 O 0.9279 0.4140 0.2729  -0.09
10 O 0.3450 0.8589 0.2729  -0.09
11 O 0.1823 0.6339 0.7909  -0.09
12 O 0.6086 0.1570 0.7909  -0.09